Entry 1:
The following is a PBE calculation of crystalline Ga3IrW at its relaxed geometry, from Alexandria.

Cell lengths 4.7423, 4.7423, 4.7423 Å; angles 90.00, 90.00, 90.00 degrees
With the nearest neighbours (Å) after each atom.
Fractional positions:
Ir  0.0000  0.0000  0.0000  6 Ga 2.37
Ga  0.0000  0.5000  0.0000  2 Ir 2.37
Ga  0.0000  0.0000  0.5000  2 Ir 2.37
Ga  0.5000  0.0000  0.0000  2 Ir 2.37
W  0.5000  0.5000  0.5000  12 Ga 3.35

Properties
* volume: 21.33 Å³/atom
* energy relative to the lowest polymorph listed for this composition: 0.0 meV/atom
* E: -5.267 eV per atom
* spin magnetization: 4.0 Bohr magnetons per cell
* ΔE_f: 0.912 eV per atom
* mass density: 9.112 Mg/m³
* symmetry: Pm-3m

=====

Entry 2:
The following is a PBE calculation of crystalline CoNi2Sn6 at its relaxed geometry, from Alexandria.

Cell lengths 6.7403, 6.4731, 8.8956 Å; angles 90.00, 103.53, 90.00 degrees
With the nearest neighbours (Å) after each atom.
Fractional positions:
Co  0.5000  0.5000  0.0000  6 Sn 2.50-2.60
Co  0.0000  0.0000  0.5000  6 Sn 2.50-2.60
Ni  0.9644  0.3565  0.7691  7 Sn 2.64-2.82
Ni  0.5356  0.8565  0.7309  7 Sn 2.64-2.82
Ni  0.4644  0.1435  0.2691  7 Sn 2.64-2.82
Ni  0.0356  0.6435  0.2309  7 Sn 2.64-2.82
Sn  0.8056  0.9814  0.2237  1 Co 2.50, 2 Ni 2.64-2.67
Sn  0.8253  0.6830  0.5947  1 Co 2.60, 2 Ni 2.66-2.77
Sn  0.8208  0.6660  0.9407  1 Co 2.58, 3 Ni 2.65-2.82
Sn  0.6792  0.1660  0.5593  1 Co 2.58, 3 Ni 2.65-2.82
Sn  0.6747  0.1830  0.9053  1 Co 2.60, 2 Ni 2.66-2.77
Sn  0.6944  0.4814  0.2763  1 Co 2.50, 2 Ni 2.64-2.67
Sn  0.1944  0.0186  0.7763  1 Co 2.50, 2 Ni 2.64-2.67
Sn  0.1747  0.3170  0.4053  1 Co 2.60, 2 Ni 2.66-2.77
Sn  0.1792  0.3340  0.0593  1 Co 2.58, 3 Ni 2.65-2.82
Sn  0.3208  0.8340  0.4407  1 Co 2.58, 3 Ni 2.65-2.82
Sn  0.3253  0.8170  0.0947  1 Co 2.60, 2 Ni 2.66-2.77
Sn  0.3056  0.5186  0.7237  1 Co 2.50, 2 Ni 2.64-2.67

Properties
* volume: 20.96 Å³/atom
* energy relative to the lowest polymorph listed for this composition: 18.3 meV/atom
* E: -4.767 eV per atom
* spin magnetization: 0.0 Bohr magnetons per cell
* ΔE_f: -0.024 eV per atom
* mass density: 7.820 Mg/m³
* symmetry: P2_1/c